# 1
Entry from the Open Quantum Materials Database: an optimized crystal structure of BeZnFeCu (PBE-GGA). Values from VASP.

Quantum ESPRESSO input file:
```
&SYSTEM
  ibrav = 0, nat = 4, ntyp = 4
/
ATOMIC_SPECIES
Cu 63.55 Cu.upf
Be 9.01 Be.upf
Fe 55.84 Fe.upf
Zn 65.41 Zn.upf
ATOMIC_POSITIONS angstrom
Cu 0.000 0.000 0.000
Be -6.654 2.086 -1.946
Fe -4.436 1.391 -1.298
Zn -2.218 0.695 -0.649
CELL_PARAMETERS angstrom
-3.429 1.444 1.300
-2.061 2.502 -2.241
-3.382 -1.164 -1.654
```

=====

# 2
Entry from the Open Quantum Materials Database: an optimized crystal structure of TlAg15 (PBE-GGA). Values from VASP.

Quantum ESPRESSO input file:
```
&SYSTEM
  ibrav = 0, nat = 32, ntyp = 2
/
ATOMIC_SPECIES
Ag 107.87 Ag.upf
Tl 204.38 Tl.upf
ATOMIC_POSITIONS angstrom
Ag -5.889 11.017 24.718
Ag -9.307 12.199 28.297
Ag -7.056 14.446 32.191
Ag -6.470 12.740 28.471
Ag -4.745 7.571 17.218
Ag -5.095 3.412 12.122
Ag -3.596 4.123 9.712
Ag -7.007 5.301 13.280
Ag -4.513 1.690 8.371
Ag -5.316 9.289 20.958
Ag -5.668 5.139 15.881
Ag -7.388 10.307 27.129
Ag -6.808 8.581 23.371
Ag -3.977 9.128 23.560
Ag -8.720 10.468 24.525
Ag -2.834 5.683 16.064
Ag -8.150 8.745 20.775
Ag -7.580 7.022 17.027
Ag -6.239 6.857 19.621
Ag -5.124 12.588 31.091
Ag -4.176 5.847 13.469
Ag -2.263 3.961 12.315
Ag -4.551 10.853 27.315
Ag -3.927 -0.016 4.651
Ag -2.988 2.397 5.945
Ag -5.859 1.842 5.752
Ag -7.995 12.033 30.898
Ag -6.433 3.576 9.526
Ag -1.677 2.230 8.545
Ag -3.404 7.406 19.812
Tl -9.982 14.178 32.610
Tl -1.002 0.253 4.236
CELL_PARAMETERS angstrom
-5.666 -1.093 -0.375
0.418 -2.596 1.257
-5.526 16.820 36.588
```

=====

# 3
Entry from the Open Quantum Materials Database: an optimized crystal structure of GdAsAuO (PBE-GGA). Values from VASP.

Quantum ESPRESSO input file:
```
&SYSTEM
  ibrav = 0, nat = 8, ntyp = 4
/
ATOMIC_SPECIES
Gd 157.25 Gd.upf
Au 196.97 Au.upf
As 74.92 As.upf
O 16.00 O.upf
ATOMIC_POSITIONS angstrom
Gd -0.799 -3.040 -0.024
Gd -2.652 -7.528 -1.662
Au -3.002 -5.777 1.562
Au -3.922 -4.118 -1.657
As -2.864 -5.160 -3.634
As -0.587 -5.433 1.963
O -3.995 -6.771 -0.190
O -2.928 -3.085 0.071
CELL_PARAMETERS angstrom
-3.470 0.901 1.456
-3.364 -3.433 -5.892
-0.064 -5.261 3.102
```

=====

no.,excess energy over the best structure of this formula in the dataset (kcal/mol of atoms)
1,0.00
2,0.11
3,8.60